## one
# PBE-GGA TlCu3F8, relaxed
data_TlCu3F8
_cell_length_a 5.213
_cell_length_b 5.818
_cell_length_c 7.154
_cell_angle_alpha 113.32
_cell_angle_beta 91.26
_cell_angle_gamma 108.78
_symmetry_space_group_name_H-M 'P 1'
_symmetry_Int_Tables_number 1
loop_
_symmetry_equiv_pos_as_xyz
'x,y,z'
loop_
_atom_site_label
_atom_site_type_symbol
_atom_site_fract_x
_atom_site_fract_y
_atom_site_fract_z
_atom_site_occupancy
Tl1 Tl 0.000 0.000 0.000 1
Cu1 Cu 0.000 0.000 0.500 1
Cu2 Cu 0.319 0.671 0.551 1
Cu3 Cu 0.681 0.329 0.449 1
F1 F 0.007 0.643 0.374 1
F2 F 0.210 0.780 0.029 1
F3 F 0.253 0.019 0.722 1
F4 F 0.347 0.329 0.320 1
F5 F 0.653 0.671 0.680 1
F6 F 0.747 0.981 0.278 1
F7 F 0.790 0.220 0.971 1
F8 F 0.993 0.357 0.626 1
# crystal system = triclinic

## two
# PBE-GGA TlCu3F8, relaxed
data_TlCu3F8
_cell_length_a 5.353
_cell_length_b 5.353
_cell_length_c 7.652
_cell_angle_alpha 90.00
_cell_angle_beta 90.00
_cell_angle_gamma 120.00
_symmetry_space_group_name_H-M 'P 1'
_symmetry_Int_Tables_number 1
loop_
_symmetry_equiv_pos_as_xyz
'x,y,z'
loop_
_atom_site_label
_atom_site_type_symbol
_atom_site_fract_x
_atom_site_fract_y
_atom_site_fract_z
_atom_site_occupancy
Tl1 Tl 0.000 0.000 0.000 1
Cu1 Cu 0.000 0.000 0.500 1
Cu2 Cu 0.333 0.667 0.700 1
Cu3 Cu 0.667 0.333 0.300 1
F1 F 0.001 0.703 0.649 1
F2 F 0.297 0.299 0.649 1
F3 F 0.299 0.001 0.351 1
F4 F 0.333 0.667 0.940 1
F5 F 0.667 0.333 0.060 1
F6 F 0.701 0.999 0.649 1
F7 F 0.703 0.701 0.351 1
F8 F 0.999 0.297 0.351 1
# crystal system = trigonal

Which structure above is the least stable? It is two.